1.
First-principles (SCAN) data for a PBEsol-optimized structure of BaYTl2Zn, as listed in the Alexandria database.

Output
Total magnetic moment (μB per atom): 0.00
Crystal system: tetragonal
Formation enthalpy at 0 K (eV per atom): 0.796
V (Å³ per cell): 192.9

Cell: 5.9518 5.9518 5.4455 Å, 90.00 90.00 90.00°
With the nearest neighbours (Å) after each atom.
Space group P4/mmm (No. 123)
Asymmetric unit:
Ba  0.0000  0.0000  0.0000  2 Zn 2.72, 4 Tl 2.98
Y  0.5000  0.5000  0.5000  8 Tl 4.03, 4 Zn 4.21
Tl  0.0000  0.5000  0.0000  2 Ba 2.98
Zn  0.0000  0.0000  0.5000  2 Ba 2.72

=====

2.
First-principles (SCAN) data for a PBEsol-optimized structure of Ba2TlZn, as listed in the Alexandria database.

Output
Total magnetic moment (μB per atom): 0.00
Crystal system: cubic
Formation enthalpy at 0 K (eV per atom): -0.389
Polymorph energy (0 for the lowest one) (eV/f.u.): 0.00
V (Å³ per cell): 554.6

Cell: 8.2160 8.2160 8.2160 Å, 90.00 90.00 90.00°
With the nearest neighbours (Å) after each atom.
Space group Fm-3m (No. 225)
Asymmetric unit:
Ba  0.2500  0.2500  0.2500  4 Zn 3.56, 4 Tl 3.56
Tl  0.0000  0.0000  0.0000  8 Ba 3.56
Zn  0.0000  0.0000  0.5000  8 Ba 3.56

=====

3.
First-principles (SCAN) data for a PBEsol-optimized structure of Ba2TlZn, as listed in the Alexandria database.

Output
Total magnetic moment (μB per atom): 0.00
Crystal system: orthorhombic
Formation enthalpy at 0 K (eV per atom): -0.382
Polymorph energy (0 for the lowest one) (eV/f.u.): 0.03
V (Å³ per cell): 138.9

Cell: 4.0642 5.8468 5.8466 Å, 90.00 90.00 90.00°
With the nearest neighbours (Å) after each atom.
Space group Pmm2 (No. 25)
Asymmetric unit:
Ba  0.0000  0.0000  0.0000  4 Zn 3.55-3.57, 4 Tl 3.56
Ba  0.0000  0.5000  0.4983  4 Tl 3.56, 4 Zn 3.56
Tl  0.5000  0.5000  0.9976  8 Ba 3.56
Zn  0.5000  0.0000  0.5011  8 Ba 3.55-3.57

=====

4.
First-principles (SCAN) data for a PBEsol-optimized structure of BaTlZn2, as listed in the Alexandria database.

Output
Total magnetic moment (μB per atom): 0.00
Crystal system: monoclinic
Formation enthalpy at 0 K (eV per atom): -0.175
V (Å³ per cell): 106.4

Cell: 3.9753 4.3011 6.5313 Å, 90.00 107.69 90.00°
With the nearest neighbours (Å) after each atom.
Space group Pm (No. 6)
Asymmetric unit:
Ba  0.0000  0.0000  0.0000  7 Zn 3.36-3.49, 4 Tl 3.75
Tl  0.6883  0.5000  0.3773  6 Zn 2.96-3.11
Zn  0.2670  0.0000  0.5402  2 Zn 2.46
Zn  0.3661  0.5000  0.7312  2 Zn 2.46

=====

5.
First-principles (SCAN) data for a PBEsol-optimized structure of Ba2TlZn2, as listed in the Alexandria database.

Output
Total magnetic moment (μB per atom): 0.00
Crystal system: tetragonal
Formation enthalpy at 0 K (eV per atom): -0.172
Polymorph energy (0 for the lowest one) (eV/f.u.): 0.43
V (Å³ per cell): 307.8

Cell: 3.8252 3.8252 21.0329 Å, 90.00 90.00 90.00°
With the nearest neighbours (Å) after each atom.
Space group I4/mmm (No. 139)
Asymmetric unit:
Ba  0.0000  0.0000  0.1112  4 Zn 3.49, 4 Tl 3.58, 4 Ba 3.83
Tl  0.0000  0.0000  0.5000  8 Ba 3.58, 4 Tl 3.83
Zn  0.0000  0.5000  0.2500  4 Zn 2.70

=====

6.
First-principles (SCAN) data for a PBEsol-optimized structure of Ba2TlZn2, as listed in the Alexandria database.

Output
Total magnetic moment (μB per atom): 0.00
Crystal system: tetragonal
Formation enthalpy at 0 K (eV per atom): -0.259
Polymorph energy (0 for the lowest one) (eV/f.u.): 0.00
V (Å³ per cell): 312.2

Cell: 8.3831 8.3831 4.4430 Å, 90.00 90.00 90.00°
With the nearest neighbours (Å) after each atom.
Space group P4/mbm (No. 127)
Asymmetric unit:
Ba  0.1908  0.3092  0.0000  6 Zn 3.27-3.41
Tl  0.0000  0.0000  0.5000  4 Zn 3.42, 8 Ba 3.77
Zn  0.1063  0.6063  0.5000  1 Zn 2.52

=====

7.
First-principles (SCAN) data for a PBEsol-optimized structure of Ba3TlZn, as listed in the Alexandria database.

Output
Total magnetic moment (μB per atom): 0.33
Crystal system: cubic
Formation enthalpy at 0 K (eV per atom): 0.096
V (Å³ per cell): 285.5

Cell: 6.5847 6.5847 6.5847 Å, 90.00 90.00 90.00°
With the nearest neighbours (Å) after each atom.
Space group Pm-3m (No. 221)
Asymmetric unit:
Ba  0.0000  0.0000  0.5000  2 Tl 3.29
Tl  0.0000  0.0000  0.0000  6 Ba 3.29
Zn  0.5000  0.5000  0.5000  12 Ba 4.66

=====

8.
First-principles (SCAN) data for a PBEsol-optimized structure of Ba2TlZn, as listed in the Alexandria database.

Output
Total magnetic moment (μB per atom): 0.00
Crystal system: orthorhombic
Formation enthalpy at 0 K (eV per atom): -0.335
Polymorph energy (0 for the lowest one) (eV/f.u.): 0.21
V (Å³ per cell): 264.2

Cell: 4.0356 5.6910 11.5021 Å, 90.00 90.00 90.00°
With the nearest neighbours (Å) after each atom.
Space group Imm2 (No. 44)
Asymmetric unit:
Ba  0.0000  0.0000  0.0000  2 Zn 3.47, 2 Ba 3.58, 4 Tl 3.63
Ba  0.0000  0.5000  0.1885  4 Zn 3.55, 2 Ba 3.58, 4 Tl 3.74-3.85
Tl  0.0000  0.0000  0.4143  2 Zn 2.80
Zn  0.0000  0.5000  0.7454  2 Tl 2.80

=====

9.
First-principles (SCAN) data for a PBEsol-optimized structure of BaZrTl, as listed in the Alexandria database.

Output
Total magnetic moment (μB per atom): 0.60
Crystal system: orthorhombic
Formation enthalpy at 0 K (eV per atom): 0.011
V (Å³ per cell): 185.4

Cell: 3.4716 4.3708 12.2211 Å, 90.00 90.00 90.00°
With the nearest neighbours (Å) after each atom.
Space group Imm2 (No. 44)
Asymmetric unit:
Ba  0.0000  0.0000  0.0000  5 Zr 3.46-3.85, 2 Ba 3.47, 5 Tl 3.68-3.71
Zr  0.0000  0.0000  0.2831  4 Tl 2.99
Tl  0.0000  0.0000  0.6964  4 Zr 2.99

=====

10.
First-principles (SCAN) data for a PBEsol-optimized structure of BaZr2Tl, as listed in the Alexandria database.

Output
Total magnetic moment (μB per atom): 0.00
Crystal system: orthorhombic
Formation enthalpy at 0 K (eV per atom): 0.369
Polymorph energy (0 for the lowest one) (eV/f.u.): 0.62
V (Å³ per cell): 210.9

Cell: 3.3541 5.5559 11.3184 Å, 90.00 90.00 90.00°
With the nearest neighbours (Å) after each atom.
Space group Imm2 (No. 44)
Asymmetric unit:
Ba  0.0000  0.0000  0.0000  6 Zr 3.24-3.54, 2 Ba 3.35, 2 Tl 3.48
Zr  0.0000  0.0000  0.4999  4 Zr 3.05-3.35, 2 Tl 3.10, 4 Ba 3.24
Zr  0.0000  0.5000  0.2247  4 Zr 3.05-3.35, 4 Tl 3.28
Tl  0.0000  0.5000  0.7695  6 Zr 3.10-3.28, 2 Tl 3.35

=====

11.
First-principles (SCAN) data for a PBEsol-optimized structure of BaZrTl2, as listed in the Alexandria database.

Output
Total magnetic moment (μB per atom): 0.71
Crystal system: cubic
Formation enthalpy at 0 K (eV per atom): 0.322
V (Å³ per cell): 461.6

Cell: 7.7285 7.7285 7.7285 Å, 90.00 90.00 90.00°
With the nearest neighbours (Å) after each atom.
Space group F-43m (No. 216)
Asymmetric unit:
Ba  0.0000  0.0000  0.0000  4 Zr 3.35, 4 Tl 3.35
Zr  0.2500  0.2500  0.7500  4 Ba 3.35, 4 Tl 3.35
Tl  0.0000  0.0000  0.5000  4 Tl 3.35, 4 Zr 3.35
Tl  0.2500  0.2500  0.2500  4 Ba 3.35, 4 Tl 3.35

=====

12.
First-principles (SCAN) data for a PBEsol-optimized structure of BaZr2Tl, as listed in the Alexandria database.

Output
Total magnetic moment (μB per atom): 0.00
Crystal system: monoclinic
Formation enthalpy at 0 K (eV per atom): 0.213
Polymorph energy (0 for the lowest one) (eV/f.u.): 0.00
V (Å³ per cell): 213.0

Cell: 11.3045 3.2500 5.9136 Å, 90.00 101.32 90.00°
With the nearest neighbours (Å) after each atom.
Space group C2/m (No. 12)
Asymmetric unit:
Ba  0.0000  0.0000  0.0000  2 Ba 3.25, 6 Zr 3.36-3.62, 4 Tl 3.37
Zr  0.2264  0.0000  0.7077  2 Tl 3.08, 4 Zr 3.08-3.25, 1 Ba 3.36
Tl  0.0000  0.5000  0.5000  4 Zr 3.08, 2 Tl 3.25, 4 Ba 3.37

=====

13.
First-principles (SCAN) data for a PBEsol-optimized structure of Ba3Tm, as listed in the Alexandria database.

Output
Total magnetic moment (μB per atom): 0.02
Crystal system: tetragonal
Formation enthalpy at 0 K (eV per atom): 0.312
V (Å³ per cell): 369.6

Cell: 5.7077 5.7077 11.3446 Å, 90.00 90.00 90.00°
With the nearest neighbours (Å) after each atom.
Space group I4/mmm (No. 139)
Asymmetric unit:
Ba  0.0000  0.0000  0.0000  8 Ba 4.02, 4 Tm 4.04
Ba  0.0000  0.5000  0.2500  8 Ba 4.02-4.04, 4 Tm 4.02
Tm  0.0000  0.0000  0.5000  12 Ba 4.02-4.04

=====

14.
First-principles (SCAN) data for a PBEsol-optimized structure of BaW, as listed in the Alexandria database.

Output
Total magnetic moment (μB per atom): 0.00
Crystal system: hexagonal
Formation enthalpy at 0 K (eV per atom): 2.005
Polymorph energy (0 for the lowest one) (eV/f.u.): 2.33
V (Å³ per cell): 47.9

Cell: 3.0711 3.0711 5.8596 Å, 90.00 90.00 120.00°
With the nearest neighbours (Å) after each atom.
Space group P-6m2 (No. 187)
Asymmetric unit:
Ba  0.0000  0.0000  0.0000  6 Ba 3.07, 6 W 3.42
W  0.6667  0.3333  0.5000  6 W 3.07, 6 Ba 3.42

=====

15.
First-principles (SCAN) data for a PBEsol-optimized structure of Ba5W, as listed in the Alexandria database.

Output
Total magnetic moment (μB per atom): 0.41
Crystal system: monoclinic
Formation enthalpy at 0 K (eV per atom): 0.721
V (Å³ per cell): 548.0

Cell: 14.4669 3.9910 10.3823 Å, 90.00 113.91 90.00°
With the nearest neighbours (Å) after each atom.
Space group C2/m (No. 12)
Asymmetric unit:
Ba  0.0000  0.0000  0.0000  12 Ba 3.99-4.46
Ba  0.1250  0.5000  0.3779  2 W 3.27
Ba  0.1649  0.5000  0.7712  2 W 3.49, 2 Ba 3.84-3.89
W  0.0000  0.0000  0.5000  8 Ba 3.27-3.49

=====

16.
First-principles (SCAN) data for a PBEsol-optimized structure of Ba3W, as listed in the Alexandria database.

Output
Total magnetic moment (μB per atom): 0.20
Crystal system: hexagonal
Formation enthalpy at 0 K (eV per atom): 1.307
V (Å³ per cell): 149.8

Cell: 3.7502 3.7502 12.2993 Å, 90.00 90.00 120.00°
With the nearest neighbours (Å) after each atom.
Space group P-6m2 (No. 187)
Asymmetric unit:
Ba  0.0000  0.0000  0.0000  6 Ba 3.75
Ba  0.6667  0.3333  0.3068  3 W 3.21
W  0.0000  0.0000  0.5000  6 Ba 3.21

=====

17.
First-principles (SCAN) data for a PBEsol-optimized structure of BaW, as listed in the Alexandria database.

Output
Total magnetic moment (μB per atom): 0.22
Crystal system: tetragonal
Formation enthalpy at 0 K (eV per atom): 0.838
Polymorph energy (0 for the lowest one) (eV/f.u.): 0.00
V (Å³ per cell): 116.5

Cell: 3.4136 3.4136 9.9942 Å, 90.00 90.00 90.00°
With the nearest neighbours (Å) after each atom.
Space group P4/nmm (No. 129, origin choice 2)
Asymmetric unit:
Ba  0.2500  0.2500  0.1926  4 Ba 3.41, 5 W 3.53-3.56
W  0.2500  0.2500  0.5492  4 W 2.61

=====

18.
First-principles (SCAN) data for a PBEsol-optimized structure of BaW2, as listed in the Alexandria database.

Output
Total magnetic moment (μB per atom): 0.00
Crystal system: hexagonal
Formation enthalpy at 0 K (eV per atom): 1.323
V (Å³ per cell): 82.6

Cell: 4.2035 4.2035 5.4001 Å, 90.00 90.00 120.00°
With the nearest neighbours (Å) after each atom.
Space group P6/mmm (No. 191)
Asymmetric unit:
Ba  0.0000  0.0000  0.0000  12 W 3.63
W  0.3333  0.6667  0.5000  3 W 2.43

=====

19.
First-principles (SCAN) data for a PBEsol-optimized structure of BaW, as listed in the Alexandria database.

Output
Total magnetic moment (μB per atom): 0.00
Crystal system: orthorhombic
Formation enthalpy at 0 K (eV per atom): 1.266
Polymorph energy (0 for the lowest one) (eV/f.u.): 0.86
V (Å³ per cell): 262.3

Cell: 5.0119 11.9342 4.3857 Å, 90.00 90.00 90.00°
With the nearest neighbours (Å) after each atom.
Space group Cmcm (No. 63)
Asymmetric unit:
Ba  0.0000  0.1483  0.2500  7 W 3.36-3.73
W  0.0000  0.4611  0.2500  2 W 2.38

=====

20.
First-principles (SCAN) data for a PBEsol-optimized structure of Ba2W, as listed in the Alexandria database.

Output
Total magnetic moment (μB per atom): 0.84
Crystal system: hexagonal
Formation enthalpy at 0 K (eV per atom): 1.564
Polymorph energy (0 for the lowest one) (eV/f.u.): 1.95
V (Å³ per cell): 196.6

Cell: 5.5347 5.5347 7.4090 Å, 90.00 90.00 120.00°
With the nearest neighbours (Å) after each atom.
Space group P6_3/mmc (No. 194)
Asymmetric unit:
Ba  0.0000  0.0000  0.0000  8 Ba 3.69-3.70, 6 W 3.69
Ba  0.3333  0.6667  0.2500  3 W 3.20
W  0.3333  0.6667  0.7500  3 Ba 3.20